# 1
# Tl2GeSe2, optimized geometry, DFT GGA-PBE
# ΔE to the lowest computed polymorph: 0.061 eV per atom
# Volume: 31.7 Å³ per atom
# Formation energy (no corrections): -0.2348 eV per atom
# Spin magnetization: 0.0 μB/f.u.
# DOS at the Fermi energy: 0.32 states/eV/f.u.
# DFT total energy: -3.499 eV/atom
# Space group: Ibam
data_Tl2GeSe2
_chemical_formula_sum 'Tl4 Ge2 Se4'
_symmetry_space_group_name_H-M 'P 1'
_symmetry_Int_Tables_number 1
_symmetry_space_group_name_Hall 'P 1'
_cell_length_a 8.283
_cell_length_b 8.283
_cell_length_c 8.283
_cell_angle_alpha 130.28
_cell_angle_beta 71.88
_cell_angle_gamma 131.64
loop_
_atom_site_label
_atom_site_type_symbol
_atom_site_fract_x
_atom_site_fract_y
_atom_site_fract_z
Tl1 Tl 0.152 0.163 0.315
Tl2 Tl 0.348 0.663 0.011
Tl3 Tl 0.652 0.337 0.989
Tl4 Tl 0.848 0.837 0.685
Ge1 Ge 0.250 0.750 0.500
Ge2 Ge 0.750 0.250 0.500
Se1 Se 0.113 0.714 0.827
Se2 Se 0.387 0.214 0.601
Se3 Se 0.613 0.786 0.399
Se4 Se 0.887 0.286 0.173

---

# 2
# Tl4GeSe4, optimized geometry, DFT GGA-PBE
# ΔE to the lowest computed polymorph: 0.053 eV per atom
# Volume: 37.9 Å³ per atom
# Formation energy (no corrections): -0.3474 eV per atom
# Spin magnetization: 0.0 μB/f.u.
# DFT total energy: -3.461 eV/atom
# Space group: I-42m
data_Tl4GeSe4
_chemical_formula_sum 'Tl4 Ge1 Se4'
_symmetry_space_group_name_H-M 'P 1'
_symmetry_Int_Tables_number 1
_symmetry_space_group_name_Hall 'P 1'
_cell_length_a 7.882
_cell_length_b 7.882
_cell_length_c 7.882
_cell_angle_alpha 120.96
_cell_angle_beta 120.96
_cell_angle_gamma 88.34
loop_
_atom_site_label
_atom_site_type_symbol
_atom_site_fract_x
_atom_site_fract_y
_atom_site_fract_z
Tl1 Tl 0.000 0.500 0.500
Tl2 Tl 0.165 0.165 0.000
Tl3 Tl 0.500 0.000 0.500
Tl4 Tl 0.835 0.835 0.000
Ge1 Ge 0.500 0.500 0.000
Se1 Se 0.196 0.545 0.000
Se2 Se 0.455 0.455 0.652
Se3 Se 0.545 0.196 0.000
Se4 Se 0.804 0.804 0.348

---

# 3
# Tl3GeSe3, optimized geometry, DFT GGA-PBE
# Volume: 36.4 Å³ per atom
# Formation energy (no corrections): -0.2332 eV per atom
# Spin magnetization: 0.0 μB/f.u.
# DOS at the Fermi energy: 1.78 states/eV/f.u.
# DFT total energy: -3.400 eV/atom
# Space group: Cmcm
data_Tl3GeSe3
_chemical_formula_sum 'Tl6 Ge2 Se6'
_symmetry_space_group_name_H-M 'P 1'
_symmetry_Int_Tables_number 1
_symmetry_space_group_name_Hall 'P 1'
_cell_length_a 9.312
_cell_length_b 9.312
_cell_length_c 6.768
_cell_angle_alpha 90.00
_cell_angle_beta 90.00
_cell_angle_gamma 119.85
loop_
_atom_site_label
_atom_site_type_symbol
_atom_site_fract_x
_atom_site_fract_y
_atom_site_fract_z
Tl1 Tl 0.202 0.798 0.750
Tl2 Tl 0.203 0.405 0.750
Tl3 Tl 0.405 0.203 0.250
Tl4 Tl 0.595 0.797 0.750
Tl5 Tl 0.797 0.595 0.250
Tl6 Tl 0.798 0.202 0.250
Ge1 Ge 0.333 0.667 0.250
Ge2 Ge 0.667 0.333 0.750
Se1 Se 0.186 0.373 0.250
Se2 Se 0.186 0.814 0.250
Se3 Se 0.373 0.186 0.750
Se4 Se 0.627 0.814 0.250
Se5 Se 0.814 0.186 0.750
Se6 Se 0.814 0.627 0.750